(1)
The following is a PBE-GGA calculation of crystalline Li3ZnTe at its relaxed geometry, from Alexandria.

Its total energy is -0.1707 Ry per atom. The value obtained for the formation energy from raw total energies is -0.29 eV/atom. The calculation puts the theoretical density at 2.5 g cm⁻³. The relative energy among the computed polymorphs is 0 meV/atom. Its crystal system is cubic. The density of states at the Fermi level is 3.283 states/eV per cell.

It has space group Pm-3m (No. 221), with a = 5.203 Å, b = 5.203 Å, c = 5.203 Å, α = 90.00°, β = 90.00° and γ = 90.00°. The asymmetric unit holds Li at (0.000, 0.000, 0.500), Zn at (0.500, 0.500, 0.500) and Te at (0.000, 0.000, 0.000).

(2)
The following is a PBE-GGA calculation of crystalline BeGeOs2 at its relaxed geometry, from Alexandria.

Its total energy is -0.5272 Ry per atom. The calculation puts the theoretical density at 12.4 g cm⁻³. Its formation energy is 0.5272 eV/atom. Its crystal system is tetragonal. The density of states at the Fermi level is 7.856 states/eV per cell.

It has space group I-42d (No. 122), with a = 3.921 Å, b = 3.921 Å, c = 16.127 Å, α = 90.00°, β = 90.00° and γ = 90.00°. The asymmetric unit holds Be at (0.000, 0.000, 0.000), Ge at (0.000, 0.000, 0.500) and Os at (0.181, 0.250, 0.125).

(3)
The following is a PBE-GGA calculation of crystalline Ba3Tl3Ga at its relaxed geometry, from Alexandria.

Its total energy is -0.1953 Ry per atom. The calculation puts the theoretical density at 6.9 g cm⁻³. Its formation energy is -0.3868 eV/atom. Its crystal system is monoclinic. The density of states at the Fermi level is 17.431 states/eV per cell.

It has space group C2/m (No. 12), with a = 13.307 Å, b = 4.701 Å, c = 17.792 Å, α = 90.00°, β = 108.20° and γ = 90.00°. The asymmetric unit holds Ba at (0.018, 0.000, 0.393), Ba at (0.107, 0.000, 0.920), Ba at (0.238, 0.000, 0.240), Tl at (0.023, 0.500, 0.238), Tl at (0.111, 0.500, 0.079), Tl at (0.171, 0.500, 0.539) and Ga at (0.216, 0.500, 0.384).

(4)
The following is a PBE-GGA calculation of crystalline TbUAl at its relaxed geometry, from Alexandria.

Its total energy is -0.4721 Ry per atom. The calculation puts the theoretical density at 10.2 g cm⁻³. Its formation energy is 0.1298 eV/atom. Its crystal system is orthorhombic. The density of states at the Fermi level is 17.946 states/eV per cell.

It has space group Cmcm (No. 63), with a = 3.122 Å, b = 18.881 Å, c = 4.686 Å, α = 90.00°, β = 90.00° and γ = 90.00°. The asymmetric unit holds Tb at (0.000, 0.130, 0.250), U at (0.000, 0.470, 0.250) and Al at (0.000, 0.294, 0.250).

(5)
The following is a PBE-GGA calculation of crystalline BaLiCl at its relaxed geometry, from Alexandria.

Its total energy is -0.1890 Ry per atom. The value obtained for the formation energy from raw total energies is -0.68 eV/atom. The calculation puts the theoretical density at 2.4 g cm⁻³. The relative energy among the computed polymorphs is 488 meV/atom. Its crystal system is cubic.

It has space group F-43m (No. 216), with a = 7.930 Å, b = 7.930 Å, c = 7.930 Å, α = 90.00°, β = 90.00° and γ = 90.00°. The asymmetric unit holds Ba at (0.000, 0.000, 0.000), Li at (0.250, 0.250, 0.250) and Cl at (0.250, 0.250, 0.750).

(6)
The following is a PBE-GGA calculation of crystalline Pm2LuTa at its relaxed geometry, from Alexandria.

Its total energy is -0.4292 Ry per atom. The calculation puts the theoretical density at 9.7 g cm⁻³. Its formation energy is 0.6285 eV/atom. Its crystal system is trigonal. The density of states at the Fermi level is 16.795 states/eV per cell.

It has space group R-3m (No. 166, hexagonal axes), with a = 3.2966 Å, b = 3.2966 Å, c = 35.2528 Å, α = 90.00°, β = 90.00° and γ = 120.00°. The asymmetric unit holds Pm at (0.0000, 0.0000, 0.0836), Lu at (0.0000, 0.0000, 0.5000) and Ta at (0.0000, 0.0000, 0.0000).